No. 1
Here is crystalline TmCuPb at its relaxed geometry from the Alexandria database. Energies are from PBE-GGA.

Cell lengths 3.433, 3.433, 11.623 Å; angles 90.00, 90.00, 90.00 degrees
Space group I4mm (No. 107)
Asymmetric unit:
1 Tm 0.000 0.000 0.000 [2 per cell]
2 Cu 0.000 0.000 0.634 [2 per cell]
3 Pb 0.000 0.000 0.291 [2 per cell]

Calculated values
Energy of formation from the pure elements in eV/f.u.: -0.5

---

No. 2
Here is crystalline Tm2CuPb2 at its relaxed geometry from the Alexandria database. Energies are from PBE-GGA.

Cell lengths 9.214, 7.534, 7.396 Å; angles 90.00, 90.41, 90.00 degrees
Space group P2_1/c (No. 14)
Asymmetric unit:
1 Tm 0.114 0.217 0.011 [4 per cell]
2 Tm 0.367 0.700 0.496 [4 per cell]
3 Cu 0.135 0.566 0.808 [4 per cell]
4 Pb 0.138 0.581 0.211 [4 per cell]
5 Pb 0.389 0.115 0.291 [4 per cell]

Calculated values
Energy of formation from the pure elements in eV/f.u.: -1.5

---

No. 3
Here is crystalline TmZnCuPb at its relaxed geometry from the Alexandria database. Energies are from PBE-GGA.

Cell lengths 6.905, 6.905, 6.905 Å; angles 90.00, 90.00, 90.00 degrees
Space group F-43m (No. 216)
Asymmetric unit:
1 Tm 0.000 0.000 0.000 [4 per cell]
2 Zn 0.250 0.250 0.250 [4 per cell]
3 Cu 0.250 0.250 0.750 [4 per cell]
4 Pb 0.000 0.000 0.500 [4 per cell]

Calculated values
Energy of formation from the pure elements in eV/f.u.: -0.5

---

No. 4
Here is crystalline V3CuPb at its relaxed geometry from the Alexandria database. Energies are from PBE-GGA.

Cell lengths 4.467, 4.467, 4.467 Å; angles 90.00, 90.00, 90.00 degrees
Space group Pm-3m (No. 221)
Asymmetric unit:
1 V 0.000 0.000 0.500 [3 per cell]
2 Cu 0.000 0.000 0.000 [1 per cell]
3 Pb 0.500 0.500 0.500 [1 per cell]

Calculated values
Energy above the most stable polymorph in this dataset in eV per atom: 0.000
Energy of formation from the pure elements in eV/f.u.: 4.9

---

No. 5
Here is crystalline V2CuPb2 at its relaxed geometry from the Alexandria database. Energies are from PBE-GGA.

Cell lengths 3.352, 3.352, 17.944 Å; angles 90.00, 90.00, 90.00 degrees
Space group I4/mmm (No. 139)
Asymmetric unit:
1 V 0.000 0.500 0.250 [4 per cell]
2 Cu 0.000 0.000 0.000 [2 per cell]
3 Pb 0.000 0.000 0.395 [4 per cell]

Calculated values
Energy above the most stable polymorph in this dataset in eV per atom: 0.000
Energy of formation from the pure elements in eV/f.u.: 2.8

---

No. 6
Here is crystalline V2CuPb2 at its relaxed geometry from the Alexandria database. Energies are from PBE-GGA.

Cell lengths 7.677, 7.677, 3.397 Å; angles 90.00, 90.00, 90.00 degrees
Space group P4/mbm (No. 127)
Asymmetric unit:
1 V 0.102 0.398 0.000 [4 per cell]
2 Cu 0.000 0.000 0.500 [2 per cell]
3 Pb 0.188 0.688 0.500 [4 per cell]

Calculated values
Energy above the most stable polymorph in this dataset in eV per atom: 0.085
Energy of formation from the pure elements in eV/f.u.: 3.2

---

No. 7
Here is crystalline V3CuPb at its relaxed geometry from the Alexandria database. Energies are from PBE-GGA.

Cell lengths 5.178, 5.178, 5.178 Å; angles 90.00, 90.00, 90.00 degrees
Space group Pm-3m (No. 221)
Asymmetric unit:
1 V 0.000 0.000 0.500 [3 per cell]
2 Cu 0.500 0.500 0.500 [1 per cell]
3 Pb 0.000 0.000 0.000 [1 per cell]

Calculated values
Energy above the most stable polymorph in this dataset in eV per atom: 0.930
Energy of formation from the pure elements in eV/f.u.: 9.5

---

No. 8
Here is crystalline V2CuPb at its relaxed geometry from the Alexandria database. Energies are from PBE-GGA.

Cell lengths 7.158, 7.158, 5.331 Å; angles 90.00, 90.00, 90.00 degrees
Space group I-42d (No. 122)
Asymmetric unit:
1 V 0.225 0.750 0.125 [8 per cell]
2 Cu 0.000 0.000 0.000 [4 per cell]
3 Pb 0.000 0.000 0.500 [4 per cell]

Calculated values
Energy of formation from the pure elements in eV/f.u.: 2.9

---

No. 9
Here is crystalline Cu2PbW at its relaxed geometry from the Alexandria database. Energies are from PBE-GGA.

Cell lengths 4.075, 4.075, 3.860 Å; angles 90.00, 90.00, 90.00 degrees
Space group P4/mmm (No. 123)
Asymmetric unit:
1 Cu 0.000 0.500 0.000 [2 per cell]
2 Pb 0.000 0.000 0.500 [1 per cell]
3 W 0.500 0.500 0.500 [1 per cell]

Calculated values
Energy of formation from the pure elements in eV/f.u.: 2.6

---

No. 10
Here is crystalline Cu2PbW at its relaxed geometry from the Alexandria database. Energies are from PBE-GGA.

Cell lengths 3.858, 3.858, 8.766 Å; angles 90.00, 90.00, 90.00 degrees
Space group I-4m2 (No. 119)
Asymmetric unit:
1 Cu 0.000 0.000 0.000 [2 per cell]
2 Cu 0.000 0.500 0.250 [2 per cell]
3 Pb 0.000 0.500 0.750 [2 per cell]
4 W 0.000 0.000 0.500 [2 per cell]

Calculated values
Energy of formation from the pure elements in eV/f.u.: 3.1

---

No. 11
Here is crystalline Cu2PbW at its relaxed geometry from the Alexandria database. Energies are from PBE-GGA.

Cell lengths 2.9708, 2.9708, 27.4850 Å; angles 90.00, 90.00, 120.00 degrees
Space group R-3m (No. 166, hexagonal axes)
Asymmetric unit:
1 Cu 0.0000 0.0000 0.2421 [6 per cell]
2 Pb 0.0000 0.0000 0.0000 [3 per cell]
3 W 0.0000 0.0000 0.5000 [3 per cell]

Calculated values
Energy of formation from the pure elements in eV/f.u.: 2.5

---

No. 12
Here is crystalline Cu2PbW at its relaxed geometry from the Alexandria database. Energies are from PBE-GGA.

Cell lengths 9.388, 2.926, 5.089 Å; angles 90.00, 99.74, 90.00 degrees
Space group C2/m (No. 12)
Asymmetric unit:
1 Cu 0.238 0.000 0.192 [4 per cell]
2 Pb 0.000 0.000 0.500 [2 per cell]
3 W 0.000 0.500 0.000 [2 per cell]

Calculated values
Energy of formation from the pure elements in eV/f.u.: 2.8

---

| no. | density (g/cm3) | total magnetization (μB/cell) |
| --- | --- | --- |
| 1 | 10.7 | 0.000 |
| 2 | 10.6 | 0.000 |
| 3 | 10.2 | 0.000 |
| 4 | 7.9 | 0.000 |
| 5 | 9.5 | 0.001 |
| 6 | 9.6 | 0.000 |
| 7 | 5.1 | 9.944 |
| 8 | 9.1 | 0.000 |
| 9 | 13.4 | 0.001 |
| 10 | 13.2 | 0.000 |
| 11 | 12.3 | 0.000 |
| 12 | 12.5 | 0.000 |